First-principles (PBE) data for crystalline HfTlMo3 at its relaxed geometry, as listed in Alexandria via LeMat-Bulk.

Cell and atoms, written as POSCAR:
```
HfTlMo3
1.0
4.930 0.000 0.000
0.000 4.930 0.000
0.000 0.000 4.930
Hf Tl Mo
1 1 3
Direct
0.000 0.000 0.000
0.500 0.500 0.500
0.000 0.500 0.500
0.500 0.000 0.500
0.500 0.500 0.000
```

Its space-group type is Pm-3m. The formation energy is 2.36 eV per atom.